(1)
DFT (PBE-GGA) results for crystalline Ac6Hg2Au at its relaxed geometry.

a b c (Å): 7.1252 8.6911 13.1594
angles (deg): 90.00 121.97 90.00
Last column: nearest neighbours and their distance in Å.
Space group P2_1/c (No. 14)
Inequivalent atoms, fractional coordinates:
Ac 0.0805 0.2059 0.4355 [4 per cell]  1 Au 3.19, 2 Hg 3.36-3.41
Ac 0.2907 0.6604 0.4425 [4 per cell]  1 Au 3.21, 2 Hg 3.39
Ac 0.3891 0.0489 0.2383 [4 per cell]  1 Au 3.13, 2 Hg 3.35-3.36
Hg 0.1542 0.1116 0.7296 [4 per cell]  7 Ac 3.35-3.71
Au 0.5000 0.0000 0.5000 [2 per cell]  6 Ac 3.13-3.21

Energy of formation from the pure elements (eV/f.u.): -2.90
Final energy (eV/atom): -3.4920



(2)
DFT (PBE-GGA) results for crystalline Ac5HgAu2 at its relaxed geometry.

a b c (Å): 8.7845 8.7845 14.3371
angles (deg): 90.00 90.00 90.00
Last column: nearest neighbours and their distance in Å.
Space group I4/mcm (No. 140)
Inequivalent atoms, fractional coordinates:
Ac 0.0000 0.0000 0.0000 [4 per cell]  4 Au 3.42, 2 Hg 3.58
Ac 0.1563 0.3437 0.1438 [16 per cell]  3 Au 3.29-3.31, 2 Hg 3.65
Hg 0.0000 0.0000 0.2500 [4 per cell]  10 Ac 3.58-3.65
Au 0.1348 0.3652 0.5000 [8 per cell]  8 Ac 3.29-3.42, 1 Au 3.35

Energy of formation from the pure elements (eV/f.u.): -3.97
Final energy (eV/atom): -3.9205



(3)
DFT (PBE-GGA) results for crystalline AcHoHgAu at its relaxed geometry.

a b c (Å): 7.6542 7.6542 7.6542
angles (deg): 90.00 90.00 90.00
Last column: nearest neighbours and their distance in Å.
Space group F-43m (No. 216)
Inequivalent atoms, fractional coordinates:
Ac 0.0000 0.0000 0.0000 [4 per cell]  4 Au 3.31, 4 Hg 3.31
Ho 0.0000 0.0000 0.5000 [4 per cell]  4 Hg 3.31, 4 Au 3.31
Hg 0.2500 0.2500 0.7500 [4 per cell]  4 Ac 3.31, 4 Ho 3.31
Au 0.2500 0.2500 0.2500 [4 per cell]  4 Ho 3.31, 4 Ac 3.31

Energy of formation from the pure elements (eV/f.u.): -2.31
Final energy (eV/atom): -3.6436



(4)
DFT (PBE-GGA) results for crystalline AcInHgAu at its relaxed geometry.

a b c (Å): 7.5359 7.5359 7.5359
angles (deg): 90.00 90.00 90.00
Last column: nearest neighbours and their distance in Å.
Space group F-43m (No. 216)
Inequivalent atoms, fractional coordinates:
Ac 0.0000 0.0000 0.0000 [4 per cell]  4 Hg 3.26, 4 Au 3.26
In 0.0000 0.0000 0.5000 [4 per cell]  4 Hg 3.26, 4 Au 3.26
Hg 0.2500 0.2500 0.7500 [4 per cell]  4 Ac 3.26, 4 In 3.26
Au 0.2500 0.2500 0.2500 [4 per cell]  4 Ac 3.26, 4 In 3.26

Energy of formation from the pure elements (eV/f.u.): -2.22
Final energy (eV/atom): -3.1624